[1]
{"formula": "RbLaHo4Se8", "functional": "GGA-PBE", "state": "relaxed", "final_energy_ev_per_atom": -5.4574, "raw_formation_energy_ev_per_atom": -1.7373, "rho_g_cm3": 5.4, "magnetic_moment_mub_per_atom": 0.00, "dos_at_fermi_per_ev_cell": 0.0, "lattice_angstrom": [[4.285, 2.474, 7.283], [-4.285, 2.474, 7.283], [0.000, -4.948, 7.283]], "species": ["Rb", "La", "Ho", "Ho", "Ho", "Ho", "Se", "Se", "Se", "Se", "Se", "Se", "Se", "Se"], "frac_coords": [[0.000, 0.000, 0.000], [0.363, 0.363, 0.363], [0.364, 0.364, 0.881], [0.364, 0.881, 0.364], [0.742, 0.742, 0.742], [0.881, 0.364, 0.364], [0.127, 0.127, 0.568], [0.127, 0.568, 0.127], [0.136, 0.617, 0.617], [0.138, 0.138, 0.138], [0.568, 0.127, 0.127], [0.611, 0.611, 0.611], [0.617, 0.136, 0.617], [0.617, 0.617, 0.136]]}

---

[2]
{"formula": "Dy3ScSb2", "functional": "GGA-PBE", "state": "relaxed", "final_energy_ev_per_atom": -5.5481, "raw_formation_energy_ev_per_atom": -0.8176, "rho_g_cm3": 8.0, "magnetic_moment_mub_per_atom": 0.00, "dos_at_fermi_per_ev_cell": 9.4, "lattice_angstrom": [[-3.120, 8.345, 3.111], [3.120, -8.345, 3.111], [3.120, 8.345, -3.111]], "species": ["Dy", "Dy", "Dy", "Dy", "Dy", "Dy", "Sc", "Sc", "Sb", "Sb", "Sb", "Sb"], "frac_coords": [[0.175, 0.249, 0.424], [0.250, 0.250, 0.000], [0.325, 0.749, 0.074], [0.675, 0.251, 0.926], [0.750, 0.750, 0.000], [0.825, 0.751, 0.576], [0.250, 0.750, 0.500], [0.750, 0.250, 0.500], [0.137, 0.744, 0.881], [0.363, 0.244, 0.607], [0.637, 0.756, 0.393], [0.863, 0.256, 0.119]]}

---

[3]
{"formula": "SnS2ClF", "functional": "GGA-PBE", "state": "relaxed", "final_energy_ev_per_atom": -3.1223, "raw_formation_energy_ev_per_atom": 0.0728, "rho_g_cm3": 3.9, "magnetic_moment_mub_per_atom": 0.00, "dos_at_fermi_per_ev_cell": 3.0, "e_above_lowest_polymorph_mev_per_atom": 0, "lattice_angstrom": [[4.243, 0.000, 0.000], [0.000, 4.243, 0.000], [0.000, 0.000, 5.671]], "species": ["Sn", "S", "S", "Cl", "F"], "frac_coords": [[0.000, 0.000, 0.000], [0.000, 0.500, 0.500], [0.500, 0.000, 0.500], [0.500, 0.500, 0.000], [0.500, 0.500, 0.500]]}

---

[4]
{"formula": "PmSmPt", "functional": "GGA-PBE", "state": "relaxed", "final_energy_ev_per_atom": -5.9201, "rho_g_cm3": 9.3, "magnetic_moment_mub_per_atom": 0.00, "dos_at_fermi_per_ev_cell": 2.9, "e_above_lowest_polymorph_mev_per_atom": 67, "lattice_angstrom": [[0.000, 3.523, 3.523], [3.523, 0.000, 3.523], [3.523, 3.523, 0.000]], "species": ["Pm", "Sm", "Pt"], "frac_coords": [[0.000, 0.000, 0.000], [0.500, 0.500, 0.500], [0.250, 0.250, 0.250]]}

---

[5]
{"formula": "AsSe2Br", "functional": "GGA-PBE", "state": "relaxed", "final_energy_ev_per_atom": -3.3701, "raw_formation_energy_ev_per_atom": -0.0472, "rho_g_cm3": 3.8, "magnetic_moment_mub_per_atom": 0.00, "e_above_lowest_polymorph_mev_per_atom": 105, "lattice_angstrom": [[7.501, 0.000, 0.000], [0.000, 11.004, 0.000], [-0.359, 0.000, 6.618]], "species": ["As", "As", "As", "As", "Se", "Se", "Se", "Se", "Se", "Se", "Se", "Se", "Br", "Br", "Br", "Br"], "frac_coords": [[0.092, 0.170, 0.296], [0.092, 0.330, 0.796], [0.908, 0.670, 0.204], [0.908, 0.830, 0.704], [0.083, 0.684, 0.895], [0.083, 0.816, 0.395], [0.357, 0.210, 0.942], [0.357, 0.290, 0.442], [0.643, 0.710, 0.558], [0.643, 0.790, 0.058], [0.917, 0.184, 0.605], [0.917, 0.316, 0.105], [0.363, 0.042, 0.718], [0.363, 0.458, 0.218], [0.637, 0.542, 0.782], [0.637, 0.958, 0.282]]}

---

[6]
{"formula": "TbY3Tl4", "functional": "GGA-PBE", "state": "relaxed", "final_energy_ev_per_atom": -4.5602, "rho_g_cm3": 9.4, "magnetic_moment_mub_per_atom": 0.00, "dos_at_fermi_per_ev_cell": 5.5, "lattice_angstrom": [[3.800, 0.000, 0.000], [0.000, 3.800, 0.000], [0.000, 0.000, 15.182]], "species": ["Tb", "Y", "Y", "Y", "Tl", "Tl", "Tl", "Tl"], "frac_coords": [[0.000, 0.000, 0.000], [0.000, 0.000, 0.250], [0.000, 0.000, 0.500], [0.000, 0.000, 0.750], [0.500, 0.500, 0.125], [0.500, 0.500, 0.375], [0.500, 0.500, 0.625], [0.500, 0.500, 0.875]]}

---

[7]
{"formula": "Ta2GaHg", "functional": "GGA-PBE", "state": "relaxed", "final_energy_ev_per_atom": -6.2355, "rho_g_cm3": 13.5, "magnetic_moment_mub_per_atom": 0.00, "dos_at_fermi_per_ev_cell": 3.9, "lattice_angstrom": [[-3.697, 3.697, 2.839], [3.697, -3.697, 2.839], [3.697, 3.697, -2.839]], "species": ["Ta", "Ta", "Ta", "Ta", "Ga", "Ga", "Hg", "Hg"], "frac_coords": [[0.112, 0.625, 0.987], [0.375, 0.362, 0.487], [0.638, 0.125, 0.013], [0.875, 0.888, 0.513], [0.000, 0.000, 0.000], [0.750, 0.250, 0.500], [0.250, 0.750, 0.500], [0.500, 0.500, 0.000]]}

---

[8]
{"formula": "Ba2Li4InHg3", "functional": "GGA-PBE", "state": "relaxed", "final_energy_ev_per_atom": -1.8521, "rho_g_cm3": 6.2, "magnetic_moment_mub_per_atom": 0.00, "dos_at_fermi_per_ev_cell": 6.5, "lattice_angstrom": [[5.070, 0.000, 0.000], [0.000, 5.070, 0.000], [0.000, 0.000, 10.615]], "species": ["Ba", "Ba", "Li", "Li", "Li", "Li", "In", "Hg", "Hg", "Hg"], "frac_coords": [[0.000, 0.500, 0.249], [0.500, 0.000, 0.751], [0.000, 0.000, 0.500], [0.000, 0.500, 0.882], [0.500, 0.000, 0.118], [0.500, 0.500, 0.500], [0.500, 0.500, 0.000], [0.000, 0.000, 0.000], [0.000, 0.500, 0.619], [0.500, 0.000, 0.381]]}